# 1
Rb2NaTe2O6 (GGA-PBE, relaxed); calculated total energy = -52.9 eV/cell; formation energy without anion corrections = -1.24 eV/atom
1.0
6.480 0.000 0.000
-3.240 5.417 -0.225
0.000 -3.347 7.956
Na O Te Rb
1 6 2 2
direct
0.500 0.000 0.500
0.744 0.488 0.642
0.232 0.007 0.297
0.225 0.993 0.703
0.256 0.512 0.358
0.768 0.993 0.703
0.775 0.007 0.297
0.068 0.136 0.223
0.932 0.864 0.777
0.236 0.472 0.681
0.764 0.528 0.319



# 2
YOs2Cl (GGA-PBE, relaxed); calculated total energy = -31.2 eV/cell; energy above the most stable polymorph in this dataset = 118 meV/atom; formation energy without anion corrections = -0.10 eV/atom
1.0
-2.083 0.353 3.077
1.554 -2.224 1.307
5.911 4.092 3.532
Cl Os Y
1 2 1
direct
0.500 0.965 0.683
0.500 0.204 0.222
0.000 0.760 0.115
0.000 0.570 0.480